Entry 1:
TiNi2TeIr | GGA-PBE | optimized geometry

Results
magnetization = 1.4 μB per formula unit
calculated volume = 20.8 Å³ per atom
raw total energy = -5.371 eV per atom

Lattice parameters (Å, degrees): 4.5279 4.5279 5.0660 90.00 90.00 90.00
Last column: nearest neighbours and their distance in Å.
Space group P4/mmm (No. 123)
Inequivalent atoms, fractional coordinates:
Ti 0.0000 0.0000 0.0000  4 Te 3.20, 8 Ni 3.40
Ni 0.0000 0.5000 0.5000  2 Ir 2.26
Te 0.5000 0.5000 0.0000  2 Ir 2.53
Ir 0.5000 0.5000 0.5000  4 Ni 2.26, 2 Te 2.53

***

Entry 2:
NiTeIrW2 | GGA-PBE | optimized geometry

Results
magnetization = 0.0 μB per formula unit
calculated volume = 18.9 Å³ per atom
raw total energy = -7.040 eV per atom

Lattice parameters (Å, degrees): 4.4602 4.4602 4.7565 90.00 90.00 90.00
Last column: nearest neighbours and their distance in Å.
Space group P4/mmm (No. 123)
Inequivalent atoms, fractional coordinates:
Ni 0.0000 0.0000 0.0000  4 W 2.23, 2 Te 2.38
Te 0.0000 0.0000 0.5000  2 Ni 2.38
Ir 0.5000 0.5000 0.5000  4 Te 3.15, 8 W 3.26
W 0.0000 0.5000 0.0000  2 Ni 2.23

***

Entry 3:
NiTeIrW2 | GGA-PBE | optimized geometry

Results
magnetization = 1.8 μB per formula unit
calculated volume = 20.8 Å³ per atom
raw total energy = -6.434 eV per atom

Lattice parameters (Å, degrees): 4.8826 4.8826 4.3690 90.00 90.00 90.00
Last column: nearest neighbours and their distance in Å.
Space group P4/mmm (No. 123)
Inequivalent atoms, fractional coordinates:
Ni 0.0000 0.0000 0.0000  2 Te 2.18
Te 0.0000 0.0000 0.5000  2 Ni 2.18, 4 W 2.44
Ir 0.5000 0.5000 0.0000  8 W 3.28, 4 Ni 3.45
W 0.0000 0.5000 0.5000  2 Te 2.44

***

Entry 4:
YNiTe2Ir | GGA-PBE | optimized geometry

Results
magnetization = 0.7 μB per formula unit
calculated volume = 28.4 Å³ per atom
raw total energy = -5.013 eV per atom

Lattice parameters (Å, degrees): 5.2312 5.2312 5.1857 90.00 90.00 90.00
Last column: nearest neighbours and their distance in Å.
Space group P4/mmm (No. 123)
Inequivalent atoms, fractional coordinates:
Y 0.0000 0.0000 0.0000  2 Ir 2.59
Ni 0.5000 0.5000 0.0000  8 Te 3.68, 4 Y 3.70
Te 0.0000 0.5000 0.5000  2 Ir 2.62
Ir 0.0000 0.0000 0.5000  2 Y 2.59, 4 Te 2.62

***

Entry 5:
Zr2NiTeIr | GGA-PBE | optimized geometry

Results
magnetization = 0.8 μB per formula unit
calculated volume = 26.2 Å³ per atom
raw total energy = -5.820 eV per atom

Lattice parameters (Å, degrees): 5.2435 5.2435 4.7676 90.00 90.00 90.00
Last column: nearest neighbours and their distance in Å.
Space group P4/mmm (No. 123)
Inequivalent atoms, fractional coordinates:
Zr 0.0000 0.5000 0.0000  2 Te 2.62
Ni 0.0000 0.0000 0.5000  8 Zr 3.54, 4 Ir 3.71
Te 0.5000 0.5000 0.0000  2 Ir 2.38, 4 Zr 2.62
Ir 0.5000 0.5000 0.5000  2 Te 2.38

***

Entry 6:
Th2Ni2Ir15 | GGA-PBE | optimized geometry

Results
magnetization = 0.0 μB per formula unit
calculated volume = 16.5 Å³ per atom
raw total energy = -8.595 eV per atom

Lattice parameters (Å, degrees): 9.0784 9.0784 13.1684 90.00 90.00 120.00
Last column: nearest neighbours and their distance in Å.
Space group R-3m (No. 166, hexagonal axes)
Inequivalent atoms, fractional coordinates:
Th 0.0000 0.0000 0.1613  1 Ni 3.15, 15 Ir 3.22-3.46
Ni 0.0000 0.0000 0.4004  1 Ni 2.62, 6 Ir 2.77-2.85
Ir 0.0000 0.2917 0.5000  8 Ir 2.58-2.81
Ir 0.0000 0.5000 0.0000  8 Ir 2.58-2.63, 2 Ni 2.77
Ir 0.0017 0.5008 0.3535  8 Ir 2.63-2.81, 1 Ni 2.85